No. 1
This record from Alexandria via LeMat-Bulk describes a relaxed structure of NbAgS3. The functional is PBEsol.

formation energy from raw total energies	4.0	eV per formula unit

CIF file:
```
data_NbAgS3
_chemical_formula_sum 'Nb1 Ag1 S3'
_symmetry_space_group_name_H-M 'P m -3 m'
_symmetry_Int_Tables_number 221
_symmetry_space_group_name_Hall '-P 4 2 3'
_cell_length_a 4.637
_cell_length_b 4.637
_cell_length_c 4.637
_cell_angle_alpha 90.00
_cell_angle_beta 90.00
_cell_angle_gamma 90.00
loop_
_atom_site_label
_atom_site_fract_x
_atom_site_fract_y
_atom_site_fract_z
_atom_site_occupancy
Nb1 0.000 0.000 0.000 1
Ag1 0.500 0.500 0.500 1
S1 0.000 0.500 0.500 1
```



No. 2
This record from Alexandria via LeMat-Bulk describes a relaxed structure of Nb3Ag2TeS6. The functional is PBEsol.

formation energy from raw total energies	-10.6	eV per formula unit

CIF file:
```
data_Nb3Ag2TeS6
_chemical_formula_sum 'Nb6 Ag4 Te2 S12'
_symmetry_space_group_name_H-M 'A m m 2'
_symmetry_Int_Tables_number 38
_symmetry_space_group_name_Hall 'A 2 -2'
_cell_length_a 8.165
_cell_length_b 9.820
_cell_length_c 5.681
_cell_angle_alpha 90.00
_cell_angle_beta 90.00
_cell_angle_gamma 90.00
loop_
_atom_site_label
_atom_site_fract_x
_atom_site_fract_y
_atom_site_fract_z
_atom_site_occupancy
Nb1 0.000 0.000 0.000 1
Nb2 0.000 0.170 0.490 1
Ag1 0.500 0.175 0.109 1
Te1 0.500 0.000 0.667 1
S1 0.184 0.000 0.661 1
S2 0.196 0.167 0.159 1
```



No. 3
This record from Alexandria via LeMat-Bulk describes a relaxed structure of NbAg3Sn. The functional is PBEsol.

formation energy from the elements	1.3995	eV per atom

CIF file:
```
data_NbAg3Sn
_chemical_formula_sum 'Nb1 Ag3 Sn1'
_symmetry_space_group_name_H-M 'P m -3 m'
_symmetry_Int_Tables_number 221
_symmetry_space_group_name_Hall '-P 4 2 3'
_cell_length_a 5.054
_cell_length_b 5.054
_cell_length_c 5.054
_cell_angle_alpha 90.00
_cell_angle_beta 90.00
_cell_angle_gamma 90.00
loop_
_atom_site_label
_atom_site_fract_x
_atom_site_fract_y
_atom_site_fract_z
_atom_site_occupancy
Nb1 0.000 0.000 0.000 1
Ag1 0.000 0.000 0.500 1
Sn1 0.500 0.500 0.500 1
```



No. 4
This record from Alexandria via LeMat-Bulk describes a relaxed structure of Nb2AgSnTe. The functional is PBEsol.

formation energy from raw total energies	7.5	eV per formula unit

CIF file:
```
data_Nb2AgSnTe
_chemical_formula_sum 'Nb2 Ag1 Sn1 Te1'
_symmetry_space_group_name_H-M 'P 4/m m m'
_symmetry_Int_Tables_number 123
_symmetry_space_group_name_Hall '-P 4 2'
_cell_length_a 5.011
_cell_length_b 5.011
_cell_length_c 5.610
_cell_angle_alpha 90.00
_cell_angle_beta 90.00
_cell_angle_gamma 90.00
loop_
_atom_site_label
_atom_site_fract_x
_atom_site_fract_y
_atom_site_fract_z
_atom_site_occupancy
Nb1 0.000 0.500 0.000 1
Ag1 0.000 0.000 0.500 1
Sn1 0.500 0.500 0.500 1
Te1 0.500 0.500 0.000 1
```



No. 5
This record from Alexandria via LeMat-Bulk describes a relaxed structure of TiNb3Ag. The functional is PBEsol.

formation energy from the elements	1.8603	eV per atom

CIF file:
```
data_TiNb3Ag
_chemical_formula_sum 'Ti1 Nb3 Ag1'
_symmetry_space_group_name_H-M 'P m -3 m'
_symmetry_Int_Tables_number 221
_symmetry_space_group_name_Hall '-P 4 2 3'
_cell_length_a 4.842
_cell_length_b 4.842
_cell_length_c 4.842
_cell_angle_alpha 90.00
_cell_angle_beta 90.00
_cell_angle_gamma 90.00
loop_
_atom_site_label
_atom_site_fract_x
_atom_site_fract_y
_atom_site_fract_z
_atom_site_occupancy
Ti1 0.000 0.000 0.000 1
Nb1 0.000 0.500 0.500 1
Ag1 0.500 0.500 0.500 1
```



No. 6
This record from Alexandria via LeMat-Bulk describes a relaxed structure of TiNbAg2. The functional is PBEsol.

formation energy from the elements	0.3387	eV per atom

CIF file:
```
data_TiNbAg2
_chemical_formula_sum 'Ti4 Nb4 Ag8'
_symmetry_space_group_name_H-M 'F m -3 m'
_symmetry_Int_Tables_number 225
_symmetry_space_group_name_Hall '-F 4 2 3'
_cell_length_a 6.488
_cell_length_b 6.488
_cell_length_c 6.488
_cell_angle_alpha 90.00
_cell_angle_beta 90.00
_cell_angle_gamma 90.00
loop_
_atom_site_label
_atom_site_fract_x
_atom_site_fract_y
_atom_site_fract_z
_atom_site_occupancy
Ti1 0.000 0.000 0.000 1
Nb1 0.000 0.000 0.500 1
Ag1 0.250 0.250 0.250 1
```



No. 7
This record from Alexandria via LeMat-Bulk describes a relaxed structure of ZrTi2NbAg. The functional is PBEsol.

formation energy from the elements	1.4078	eV per atom

CIF file:
```
data_ZrTi2NbAg
_chemical_formula_sum 'Zr1 Ti2 Nb1 Ag1'
_symmetry_space_group_name_H-M 'P 4/m m m'
_symmetry_Int_Tables_number 123
_symmetry_space_group_name_Hall '-P 4 2'
_cell_length_a 4.578
_cell_length_b 4.578
_cell_length_c 4.958
_cell_angle_alpha 90.00
_cell_angle_beta 90.00
_cell_angle_gamma 90.00
loop_
_atom_site_label
_atom_site_fract_x
_atom_site_fract_y
_atom_site_fract_z
_atom_site_occupancy
Zr1 0.000 0.000 0.000 1
Ti1 0.000 0.500 0.000 1
Nb1 0.500 0.500 0.500 1
Ag1 0.000 0.000 0.500 1
```



No. 8
This record from Alexandria via LeMat-Bulk describes a relaxed structure of NbAg2W. The functional is PBEsol.

formation energy from the elements	0.8406	eV per atom

CIF file:
```
data_NbAg2W
_chemical_formula_sum 'Nb4 Ag8 W4'
_symmetry_space_group_name_H-M 'F m -3 m'
_symmetry_Int_Tables_number 225
_symmetry_space_group_name_Hall '-F 4 2 3'
_cell_length_a 6.435
_cell_length_b 6.435
_cell_length_c 6.435
_cell_angle_alpha 90.00
_cell_angle_beta 90.00
_cell_angle_gamma 90.00
loop_
_atom_site_label
_atom_site_fract_x
_atom_site_fract_y
_atom_site_fract_z
_atom_site_occupancy
Nb1 0.000 0.000 0.000 1
Ag1 0.250 0.250 0.250 1
W1 0.000 0.000 0.500 1
```



No. 9
This record from Alexandria via LeMat-Bulk describes a relaxed structure of NbAgW3. The functional is PBEsol.

formation energy from the elements	2.7928	eV per atom

CIF file:
```
data_NbAgW3
_chemical_formula_sum 'Nb1 Ag1 W3'
_symmetry_space_group_name_H-M 'P m -3 m'
_symmetry_Int_Tables_number 221
_symmetry_space_group_name_Hall '-P 4 2 3'
_cell_length_a 4.678
_cell_length_b 4.678
_cell_length_c 4.678
_cell_angle_alpha 90.00
_cell_angle_beta 90.00
_cell_angle_gamma 90.00
loop_
_atom_site_label
_atom_site_fract_x
_atom_site_fract_y
_atom_site_fract_z
_atom_site_occupancy
Nb1 0.000 0.000 0.000 1
Ag1 0.500 0.500 0.500 1
W1 0.000 0.500 0.500 1
```



No. 10
This record from Alexandria via LeMat-Bulk describes a relaxed structure of Nb3ZnAg. The functional is PBEsol.

formation energy from the elements	1.3197	eV per atom

CIF file:
```
data_Nb3ZnAg
_chemical_formula_sum 'Nb3 Zn1 Ag1'
_symmetry_space_group_name_H-M 'P m -3 m'
_symmetry_Int_Tables_number 221
_symmetry_space_group_name_Hall '-P 4 2 3'
_cell_length_a 4.658
_cell_length_b 4.658
_cell_length_c 4.658
_cell_angle_alpha 90.00
_cell_angle_beta 90.00
_cell_angle_gamma 90.00
loop_
_atom_site_label
_atom_site_fract_x
_atom_site_fract_y
_atom_site_fract_z
_atom_site_occupancy
Nb1 0.000 0.000 0.500 1
Zn1 0.000 0.000 0.000 1
Ag1 0.500 0.500 0.500 1
```



No. 11
This record from Alexandria via LeMat-Bulk describes a relaxed structure of NbZn3Ag. The functional is PBEsol.

formation energy from the elements	0.9077	eV per atom

CIF file:
```
data_NbZn3Ag
_chemical_formula_sum 'Nb1 Zn3 Ag1'
_symmetry_space_group_name_H-M 'P m -3 m'
_symmetry_Int_Tables_number 221
_symmetry_space_group_name_Hall '-P 4 2 3'
_cell_length_a 4.558
_cell_length_b 4.558
_cell_length_c 4.558
_cell_angle_alpha 90.00
_cell_angle_beta 90.00
_cell_angle_gamma 90.00
loop_
_atom_site_label
_atom_site_fract_x
_atom_site_fract_y
_atom_site_fract_z
_atom_site_occupancy
Nb1 0.000 0.000 0.000 1
Zn1 0.000 0.500 0.500 1
Ag1 0.500 0.500 0.500 1
```



No. 12
This record from Alexandria via LeMat-Bulk describes a relaxed structure of NdAg3. The functional is PBEsol.

formation energy from the elements	-0.1767	eV per atom

CIF file:
```
data_NdAg3
_chemical_formula_sum 'Nd2 Ag6'
_symmetry_space_group_name_H-M 'P 63/m m c'
_symmetry_Int_Tables_number 194
_symmetry_space_group_name_Hall '-P 6c 2c'
_cell_length_a 6.3763
_cell_length_b 6.3763
_cell_length_c 4.7821
_cell_angle_alpha 90.00
_cell_angle_beta 90.00
_cell_angle_gamma 120.00
loop_
_atom_site_label
_atom_site_fract_x
_atom_site_fract_y
_atom_site_fract_z
_atom_site_occupancy
Nd1 0.3333 0.6667 0.2500 1
Ag1 0.1494 0.2988 0.7500 1
```